A plane-wave DFT calculation with PBE+U was carried out for a relaxed structure of PrNp2CrO8.

Computed properties:
- calculated total energy (eV per atom) = -9.26
- space group = P2/m (10)

a = 4.9631 Å, b = 6.9659 Å, c = 4.9734 Å
α = 90.00°, β = 92.22°, γ = 90.00°
Last column: nearest neighbours and their distance in Å.
Atoms (fractional coordinates):
Pr: 0.0000 0.0000 0.0000  6 O 2.33-2.39
Np: 0.5000 0.2625 0.5000  6 O 2.07-2.21
Np: 0.5000 0.7375 0.5000  6 O 2.07-2.21
Cr: 0.0000 0.5000 0.0000  6 O 2.06-2.14
O: 0.1989 0.2811 0.2014  1 Cr 2.06, 1 Np 2.07
O: 0.1989 0.7189 0.2014  1 Cr 2.06, 1 Np 2.07
O: 0.2993 0.5000 0.7025  1 Cr 2.14, 2 Np 2.20
O: 0.3272 0.0000 0.6757  2 Np 2.21, 1 Pr 2.33
O: 0.6728 0.0000 0.3243  2 Np 2.21, 1 Pr 2.33
O: 0.7007 0.5000 0.2975  1 Cr 2.14, 2 Np 2.20
O: 0.8011 0.2811 0.7986  1 Cr 2.06, 1 Np 2.07
O: 0.8011 0.7189 0.7986  1 Cr 2.06, 1 Np 2.07